Density functional theory data (GGA-PBE) for a relaxed ZnCuCl3 crystal.

Unit cell a=6.7726 b=7.4291 c=10.4051 alpha=90.00 beta=92.07 gamma=90.00
Fractional positions:
Zn1 0.4085 0.3024 0.5490
Zn2 0.5915 0.6976 0.4510
Zn3 0.0915 0.8024 0.9510
Zn4 0.9085 0.1976 0.0490
Cu1 0.5967 0.6462 0.8421
Cu2 0.4033 0.3538 0.1579
Cu3 0.9033 0.1462 0.6579
Cu4 0.0967 0.8538 0.3421
Cl1 0.5809 0.1023 0.6700
Cl2 0.4191 0.8977 0.3300
Cl3 0.9191 0.6023 0.8300
Cl4 0.0809 0.3977 0.1700
Cl5 0.4325 0.6004 0.6399
Cl6 0.5675 0.3996 0.3601
Cl7 0.0675 0.1004 0.8601
Cl8 0.9325 0.8996 0.1399
Cl9 0.0884 0.2412 0.5025
Cl10 0.9116 0.7588 0.4975
Cl11 0.4116 0.7412 0.9975
Cl12 0.5884 0.2588 0.0025

The value obtained for the total moment is 0.28 μB/cell. The uncorrected energy comes out at -2.99 eV per atom. The calculation puts the energy relative to the elements, uncorrected at -78 kJ/mol of atoms. As for the crystal system: monoclinic. The relative energy among the computed polymorphs comes out at 11.9 meV per atom.

Density functional theory data (GGA-PBE) for a relaxed Li2TbSbO4 crystal.

Unit cell a=4.5534 b=4.5534 c=5.9668 alpha=112.43 beta=112.43 gamma=90.00
Fractional positions:
Li1 0.2500 0.7500 0.5000
Li2 0.0000 0.0000 0.0000
Tb1 0.5000 0.5000 0.0000
Sb1 0.7500 0.2500 0.5000
O1 0.9858 0.4858 0.9716
O2 0.5142 0.0142 0.0284
O3 0.7327 0.7327 0.4654
O4 0.2673 0.2673 0.5346

The value obtained for the total moment is 0.00 μB/cell. The uncorrected energy comes out at -6.18 eV per atom. The calculation puts the energy relative to the elements, uncorrected at -206 kJ/mol of atoms. As for the crystal system: tetragonal.

Density functional theory data (GGA-PBE) for a relaxed Tc2RhBr crystal.

Unit cell a=5.3956 b=5.3956 c=5.3956 alpha=148.14 beta=131.50 gamma=59.21
Fractional positions:
Rh1 0.2500 0.7500 0.5000
Tc1 0.9781 0.9781 0.0000
Tc2 0.5219 0.5219 0.0000
Br1 0.7500 0.2500 0.5000

The value obtained for the total moment is 0.00 μB/cell. The uncorrected energy comes out at -6.70 eV per atom. The calculation puts the energy relative to the elements, uncorrected at 72 kJ/mol of atoms. As for the crystal system: orthorhombic. The relative energy among the computed polymorphs comes out at 321.8 meV per atom.

Density functional theory data (GGA-PBE) for a relaxed Tm4Ru2Pt crystal.

Unit cell a=4.7652 b=4.7652 c=8.2195 alpha=73.15 beta=73.15 gamma=60.00
Fractional positions:
Tm1 0.8727 0.8727 0.3818
Tm2 0.1273 0.1273 0.6182
Tm3 0.6221 0.6221 0.1336
Tm4 0.3779 0.3779 0.8664
Ru1 0.7482 0.7482 0.7555
Ru2 0.2518 0.2518 0.2445
Pt1 0.0000 0.0000 0.0000

The value obtained for the total moment is 0.00 μB/cell. The uncorrected energy comes out at -6.71 eV per atom. As for the crystal system: trigonal. The value obtained for the formation energy is -0.642 eV per atom. The relative energy among the computed polymorphs comes out at 0.0 meV per atom.

Density functional theory data (GGA-PBE) for a relaxed NaScO2 crystal.

Unit cell a=3.1648 b=3.1648 c=5.9453 alpha=74.56 beta=74.56 gamma=60.00
Fractional positions:
Na1 0.4961 0.4961 0.5117
Sc1 0.6676 0.6676 0.9972
O1 0.0679 0.0679 0.7963
O2 0.2684 0.2684 0.1948

The value obtained for the total moment is 0.00 μB/cell. The uncorrected energy comes out at -7.18 eV per atom. The calculation puts the energy relative to the elements, uncorrected at -269 kJ/mol of atoms. As for the crystal system: trigonal.

Density functional theory data (GGA-PBE) for a relaxed InGeCl3 crystal.

Unit cell a=6.7091 b=4.6884 c=5.9130 alpha=92.56 beta=88.62 gamma=73.32
Fractional positions:
Ge1 0.7234 0.8407 0.3318
In1 0.2802 0.4313 0.9526
Cl1 0.6166 0.7885 0.9523
Cl2 0.4674 0.3116 0.4132
Cl3 0.9992 0.0376 0.2251

The value obtained for the total moment is 0.00 μB/cell. The uncorrected energy comes out at -3.37 eV per atom. The calculation puts the energy relative to the elements, uncorrected at -77 kJ/mol of atoms. As for the crystal system: triclinic.

Density functional theory data (GGA-PBE) for a relaxed La3In4Ga2 crystal.

Unit cell a=4.7900 b=6.2960 c=9.3997 alpha=70.47 beta=75.24 gamma=67.64
Fractional positions:
La1 0.3223 0.7068 0.6486
La2 0.0000 0.0000 0.0000
La3 0.6777 0.2932 0.3514
In1 0.2655 0.3922 0.0767
In2 0.7345 0.6078 0.9233
In3 0.0246 0.3070 0.6438
In4 0.9754 0.6930 0.3562
Ga1 0.3757 0.9543 0.2943
Ga2 0.6243 0.0457 0.7057

The value obtained for the total moment is 0.00 μB/cell. The uncorrected energy comes out at -4.07 eV per atom. As for the crystal system: monoclinic. The value obtained for the formation energy is -0.535 eV per atom.

Density functional theory data (GGA-PBE) for a relaxed TbPm2Nd4Er2 crystal.

Unit cell a=5.1319 b=8.1167 c=8.0749 alpha=107.59 beta=90.00 gamma=108.43
Fractional positions:
Tb1 0.0000 0.0000 0.0000
Pm1 0.8884 0.7767 0.3305
Pm2 0.1116 0.2233 0.6695
Nd1 0.7781 0.5561 0.6700
Nd2 0.2219 0.4439 0.3300
Nd3 0.5548 0.1095 0.3302
Nd4 0.4452 0.8905 0.6698
Er1 0.3328 0.6656 0.0003
Er2 0.6672 0.3344 0.9997

The value obtained for the total moment is 0.00 μB/cell. The uncorrected energy comes out at -4.68 eV per atom. As for the crystal system: monoclinic. The value obtained for the formation energy is 0.020 eV per atom.

Density functional theory data (GGA-PBE) for a relaxed Ho2Pa2S7 crystal.

Unit cell a=3.8741 b=8.4233 c=8.4233 alpha=61.16 beta=76.71 gamma=76.71
Fractional positions:
Ho1 0.0000 0.7870 0.2130
Ho2 0.5000 0.3269 0.6731
Pa1 0.7398 0.8504 0.6699
Pa2 0.2602 0.3301 0.1496
S1 0.8161 0.0735 0.2943
S2 0.8600 0.4193 0.8608
S3 0.5000 0.0108 0.9892
S4 0.6112 0.4944 0.2833
S5 0.3888 0.7167 0.5056
S6 0.1839 0.7057 0.9265
S7 0.1400 0.1392 0.5807

The value obtained for the total moment is 1.51 μB/cell. The uncorrected energy comes out at -7.00 eV per atom. The calculation puts the energy relative to the elements, uncorrected at -175 kJ/mol of atoms. As for the crystal system: orthorhombic. The relative energy among the computed polymorphs comes out at 0.0 meV per atom.

Density functional theory data (GGA-PBE) for a relaxed Be2SiBr crystal.

Unit cell a=7.2296 b=7.2296 c=7.2296 alpha=153.78 beta=153.78 gamma=37.41
Fractional positions:
Be1 0.0000 0.0000 0.0000
Be2 0.2500 0.7500 0.5000
Si1 0.7500 0.2500 0.5000
Br1 0.5000 0.5000 0.0000

The value obtained for the total moment is 0.00 μB/cell. The uncorrected energy comes out at -2.84 eV per atom. The calculation puts the energy relative to the elements, uncorrected at 77 kJ/mol of atoms. As for the crystal system: tetragonal. The relative energy among the computed polymorphs comes out at 510.8 meV per atom.

Density functional theory data (GGA-PBE) for a relaxed LiNdBeHg crystal.

Unit cell a=4.7362 b=4.7362 c=4.7362 alpha=60.00 beta=60.00 gamma=60.00
Fractional positions:
Be1 0.2500 0.2500 0.2500
Nd1 0.5000 0.5000 0.5000
Hg1 0.0000 0.0000 0.0000
Li1 0.7500 0.7500 0.7500

The value obtained for the total moment is 0.00 μB/cell. The uncorrected energy comes out at -2.79 eV per atom. As for the crystal system: cubic. The value obtained for the formation energy is -0.109 eV per atom.

Density functional theory data (GGA-PBE) for a relaxed ReAsI3 crystal.

Unit cell a=5.3455 b=5.3455 c=5.3455 alpha=90.00 beta=90.00 gamma=90.00
Fractional positions:
I1 0.0000 0.5000 0.0000
I2 0.0000 0.0000 0.5000
I3 0.5000 0.0000 0.0000
Re1 0.0000 0.0000 0.0000
As1 0.5000 0.5000 0.5000

The value obtained for the total moment is 0.00 μB/cell. The uncorrected energy comes out at -3.30 eV per atom. The calculation puts the energy relative to the elements, uncorrected at 101 kJ/mol of atoms. As for the crystal system: cubic. The relative energy among the computed polymorphs comes out at 0.0 meV per atom.